[1]
TaTePt2 after structural relaxation. Source: the Alexandria database, functional GGA-PBE.

Properties
Final energy   -27.49 eV for the cell shown
Raw formation energy   -0.10 eV/atom

a = 2.912 Å, b = 4.638 Å, c = 5.570 Å
α = 90.00°, β = 90.20°, γ = 90.00°
Space group Pm (No. 6)
Inequivalent atoms, fractional coordinates:
1 Ta 0.000 0.000 0.000 (multiplicity 1)
2 Te 0.504 0.500 0.676 (multiplicity 1)
3 Pt 0.502 0.500 0.150 (multiplicity 1)
4 Pt 0.506 0.000 0.433 (multiplicity 1)

***

[2]
TaTePt2 after structural relaxation. Source: the Alexandria database, functional GGA-PBE.

Properties
Final energy   -27.59 eV for the cell shown
Raw formation energy   -0.13 eV/atom

a = 3.463 Å, b = 3.463 Å, c = 6.141 Å
α = 90.00°, β = 90.00°, γ = 90.00°
Space group P4mm (No. 99)
Inequivalent atoms, fractional coordinates:
1 Ta 0.000 0.000 0.000 (multiplicity 1)
2 Te 0.500 0.500 0.291 (multiplicity 1)
3 Pt 0.000 0.000 0.558 (multiplicity 1)
4 Pt 0.500 0.500 0.792 (multiplicity 1)

***

[3]
TaTePt2 after structural relaxation. Source: the Alexandria database, functional GGA-PBE.

Properties
Final energy   -28.21 eV for the cell shown
Raw formation energy   -0.28 eV/atom

a = 2.970 Å, b = 2.970 Å, c = 8.585 Å
α = 90.00°, β = 90.00°, γ = 90.00°
Space group P4/mmm (No. 123)
Inequivalent atoms, fractional coordinates:
1 Ta 0.000 0.000 0.000 (multiplicity 1)
2 Te 0.000 0.000 0.500 (multiplicity 1)
3 Pt 0.500 0.500 0.214 (multiplicity 2)

***

[4]
TaTePt2 after structural relaxation. Source: the Alexandria database, functional GGA-PBE.

Properties
Final energy   -106.77 eV for the cell shown
Raw formation energy   0.10 eV/atom

a = 6.514 Å, b = 6.514 Å, c = 9.435 Å
α = 90.00°, β = 90.00°, γ = 90.00°
Space group I-42d (No. 122)
Inequivalent atoms, fractional coordinates:
1 Ta 0.000 0.000 0.000 (multiplicity 4)
2 Te 0.000 0.000 0.500 (multiplicity 4)
3 Pt 0.230 0.250 0.125 (multiplicity 8)

***

[5]
TaTePt2 after structural relaxation. Source: the Alexandria database, functional GGA-PBE.

Properties
Final energy   -54.70 eV for the cell shown
Raw formation energy   -0.07 eV/atom

a = 4.662 Å, b = 4.672 Å, c = 6.597 Å
α = 90.00°, β = 90.00°, γ = 90.00°
Space group Imm2 (No. 44)
Inequivalent atoms, fractional coordinates:
1 Ta 0.000 0.000 0.000 (multiplicity 2)
2 Te 0.000 0.500 0.249 (multiplicity 2)
3 Pt 0.000 0.000 0.500 (multiplicity 2)
4 Pt 0.000 0.500 0.749 (multiplicity 2)

***

[6]
TaTePt3 after structural relaxation. Source: the Alexandria database, functional GGA-PBE.

Properties
Final energy   -28.92 eV for the cell shown
ΔE to the lowest computed polymorph   0 meV/atom
Raw formation energy   0.84 eV/atom

a = 4.917 Å, b = 4.917 Å, c = 4.917 Å
α = 90.00°, β = 90.00°, γ = 90.00°
Space group Pm-3m (No. 221)
Inequivalent atoms, fractional coordinates:
1 Ta 0.000 0.000 0.000 (multiplicity 1)
2 Te 0.500 0.500 0.500 (multiplicity 1)
3 Pt 0.000 0.000 0.500 (multiplicity 3)